The following is a GGA-PBE calculation of crystalline KHg2F4 at its relaxed geometry, from Alexandria via LeMat-Bulk.

abc: 7.094 7.070 7.070
angles: 75.89 67.86 112.14
Sites, in units of the cell vectors:
K1 0.500 0.750 0.750
K2 0.000 0.000 0.000
Hg1 0.750 0.375 0.875
Hg2 0.250 0.375 0.375
Hg3 0.250 0.875 0.375
Hg4 0.750 0.375 0.375
F1 0.315 0.097 0.589
F2 0.185 0.652 0.161
F3 0.685 0.096 0.218
F4 0.685 0.589 0.097
F5 0.315 0.218 0.096
F6 0.815 0.654 0.532
F7 0.815 0.161 0.652
F8 0.185 0.532 0.654

Output
- SG: Fddd (70)
- Excess energy over the best structure of this formula in the dataset: 0.000 eV/atom
- Raw total energy: -2.967 eV per atom